1.
DFT (PBEsol) results for a relaxed structure of CrInCu.

Cell: 4.2821 4.2821 4.2821 Å, 60.00 60.00 60.00°
Closest atoms and distances in Å follow each position.
Positions (direct):
Cr  0.0000  0.0000  0.0000  4 Cu 2.62, 4 In 2.62
In  0.2500  0.2500  0.2500  4 Cr 2.62
Cu  0.7500  0.7500  0.7500  4 Cr 2.62

## Properties
formation enthalpy at 0 K = 749 meV/atom
SG = No. 216

2.
DFT (PBEsol) results for a relaxed structure of SbPbBrO2.

Cell: 6.8579 6.8579 5.4890 Å, 90.00 90.00 131.34°
Closest atoms and distances in Å follow each position.
Positions (direct):
Sb  0.0788  0.9212  0.7500  4 O 2.12
Sb  0.9212  0.0788  0.2500  4 O 2.12
Pb  0.3866  0.6134  0.7500  4 O 2.51
Pb  0.6134  0.3866  0.2500  4 O 2.51
Br  0.2557  0.7443  0.2500  4 Pb 3.20-3.34, 4 Sb 3.50-3.52
Br  0.7443  0.2557  0.7500  4 Pb 3.20-3.34, 4 Sb 3.50-3.52
O  0.2266  0.2266  0.0000  2 Sb 2.12
O  0.2266  0.2266  0.5000  2 Sb 2.12
O  0.7734  0.7734  0.0000  2 Sb 2.12
O  0.7734  0.7734  0.5000  2 Sb 2.12

## Properties
ΔE_f (raw) = -1.24 eV/atom
SG = No. 63

3.
DFT (PBEsol) results for a relaxed structure of CaTiSiTe2.

Cell: 5.3540 5.3540 5.0975 Å, 90.00 90.00 90.00°
Closest atoms and distances in Å follow each position.
Positions (direct):
Ca  0.0000  0.0000  0.0000  2 Si 2.55
Ti  0.5000  0.5000  0.0000  8 Te 3.70, 4 Ca 3.79
Si  0.0000  0.0000  0.5000  2 Ca 2.55, 4 Te 2.68
Te  0.0000  0.5000  0.5000  2 Si 2.68
Te  0.5000  0.0000  0.5000  2 Si 2.68

## Properties
ΔE_f (raw) = 0.48 eV/atom
SG = No. 123

4.
DFT (PBEsol) results for a relaxed structure of TaTl2Cl.

Cell: 3.1914 3.1914 9.1738 Å, 90.00 90.00 112.87°
Closest atoms and distances in Å follow each position.
Positions (direct):
Ta  0.0000  0.0000  0.0000  4 Tl 2.90, 4 Ta 3.19
Tl  0.5000  0.5000  0.2513  2 Cl 2.88, 2 Ta 2.90, 4 Tl 3.19
Tl  0.5000  0.5000  0.7487  2 Cl 2.88, 2 Ta 2.90, 4 Tl 3.19
Cl  0.0000  0.0000  0.5000  4 Tl 2.88, 4 Cl 3.19

## Properties
ΔE to the lowest computed polymorph = 1.369 eV/f.u.
ΔE_f (raw) = 0.34 eV/atom
SG = No. 65

5.
DFT (PBEsol) results for a relaxed structure of K2FeOs.

Cell: 2.7495 3.7786 10.0535 Å, 90.00 90.00 90.00°
Closest atoms and distances in Å follow each position.
Positions (direct):
K  0.0000  0.0000  0.0000  2 K 2.75
K  0.5000  0.5000  0.4333  2 K 2.75
Fe  0.5000  0.5000  0.7516  4 Os 2.43
Os  0.0000  0.0000  0.6835  4 Fe 2.43

## Properties
ΔE to the lowest computed polymorph = 0.000 eV/f.u.
formation enthalpy at 0 K = 814 meV/atom
SG = No. 25

6.
DFT (PBEsol) results for a relaxed structure of Ag2Mo.

Cell: 7.7390 7.7390 4.7234 Å, 90.00 90.00 160.20°
Closest atoms and distances in Å follow each position.
Positions (direct):
Ag  0.0523  0.9477  0.7500  6 Ag 2.66-2.88, 6 Mo 2.84-2.86
Ag  0.2803  0.7197  0.2500  8 Ag 2.66-2.88, 4 Mo 2.87-2.89
Ag  0.7197  0.2803  0.7500  8 Ag 2.66-2.88, 4 Mo 2.87-2.89
Ag  0.9477  0.0523  0.2500  6 Ag 2.66-2.88, 6 Mo 2.84-2.86
Mo  0.3876  0.6124  0.7500  2 Mo 2.66, 10 Ag 2.84-2.89
Mo  0.6124  0.3876  0.2500  2 Mo 2.66, 10 Ag 2.84-2.89

## Properties
ΔE to the lowest computed polymorph = 0.085 eV/f.u.
formation enthalpy at 0 K = 597 meV/atom
SG = No. 63

Please write out number 6 again, unchanged.
DFT (PBEsol) results for a relaxed structure of Ag2Mo.

Cell: 7.7390 7.7390 4.7234 Å, 90.00 90.00 160.20°
Closest atoms and distances in Å follow each position.
Positions (direct):
Ag  0.0523  0.9477  0.7500  6 Ag 2.66-2.88, 6 Mo 2.84-2.86
Ag  0.2803  0.7197  0.2500  8 Ag 2.66-2.88, 4 Mo 2.87-2.89
Ag  0.7197  0.2803  0.7500  8 Ag 2.66-2.88, 4 Mo 2.87-2.89
Ag  0.9477  0.0523  0.2500  6 Ag 2.66-2.88, 6 Mo 2.84-2.86
Mo  0.3876  0.6124  0.7500  2 Mo 2.66, 10 Ag 2.84-2.89
Mo  0.6124  0.3876  0.2500  2 Mo 2.66, 10 Ag 2.84-2.89

## Properties
ΔE to the lowest computed polymorph = 0.085 eV/f.u.
formation enthalpy at 0 K = 597 meV/atom
SG = No. 63

Question: What is the formula in the fourth record?
Answer: TaTl2Cl